Material: DyHo2Au6
Method: DFT, PBE
State: optimized geometry

```
DyHo2Au6
1.0
2.622 -8.050 0.000
2.622 8.050 0.000
-2.571 0.000 4.550
Dy Ho Au
1 2 6
Cartesian
0.000 0.000 0.000 Dy
1.336 2.662 2.275 Ho
1.336 -2.662 2.275 Ho
1.332 5.375 0.764 Au
1.340 5.375 3.786 Au
0.074 0.000 3.058 Au
2.599 0.000 1.492 Au
1.332 -5.375 0.764 Au
1.340 -5.375 3.786 Au
```

Calculated values
* ΔH_f (0 K): -77 kJ/mol of atoms
* calculated volume: 192.05 Å³ per cell